A relaxed structure of La2Nd2Tm7, computed with PBE-GGA.

Geometry as CIF:
```
data_La2Nd2Tm7
_cell_length_a 11.360
_cell_length_b 11.605
_cell_length_c 6.076
_cell_angle_alpha 90.00
_cell_angle_beta 114.05
_cell_angle_gamma 90.00
_space_group_name_H-M_alt 'C 1 2/m 1'
_space_group_IT_number 12
loop_
_space_group_symop_operation_xyz
'x,y,z'
'-x,-y,-z'
'-x,y,-z'
'x,-y,z'
'x+1/2,y+1/2,z'
'-x+1/2,-y+1/2,-z'
'-x+1/2,y+1/2,-z'
'x+1/2,-y+1/2,z'
loop_
_atom_site_label
_atom_site_type_symbol
_atom_site_fract_x
_atom_site_fract_y
_atom_site_fract_z
La1 La 0.000 0.208 0.000
Nd1 Nd 0.101 0.500 0.315
Tm1 Tm 0.000 0.000 0.500
Tm2 Tm 0.172 0.237 0.673
Tm3 Tm 0.238 0.000 0.076
```

Output
Energy of formation: 0.157 eV/atom

=====

A relaxed structure of TiBi6P2O16, computed with PBE-GGA.

Geometry as CIF:
```
data_TiBi6P2O16
_cell_length_a 15.697
_cell_length_b 5.480
_cell_length_c 11.420
_cell_angle_alpha 90.00
_cell_angle_beta 132.41
_cell_angle_gamma 90.00
_space_group_name_H-M_alt 'C 1 2 1'
_space_group_IT_number 5
loop_
_space_group_symop_operation_xyz
'x,y,z'
'-x,y,-z'
'x+1/2,y+1/2,z'
'-x+1/2,y+1/2,-z'
loop_
_atom_site_label
_atom_site_type_symbol
_atom_site_fract_x
_atom_site_fract_y
_atom_site_fract_z
Ti1 Ti 0.000 0.000 0.000
Bi1 Bi 0.004 0.041 0.342
Bi2 Bi 0.165 0.540 0.676
Bi3 Bi 0.178 0.577 0.019
P1 P 0.120 0.480 0.264
O1 O 0.000 0.280 0.500
O2 O 0.000 0.791 0.500
O3 O 0.043 0.707 0.163
O4 O 0.047 0.246 0.157
O5 O 0.134 0.455 0.410
O6 O 0.146 0.951 0.070
O7 O 0.151 0.276 0.819
O8 O 0.155 0.782 0.826
O9 O 0.233 0.486 0.297
```

Output
Formation energy (no corrections): -1.8120 eV per atom

=====

A relaxed structure of Sr4BeCu, computed with PBE-GGA.

Geometry as CIF:
```
data_Sr4BeCu
_cell_length_a 10.024
_cell_length_b 10.024
_cell_length_c 10.024
_cell_angle_alpha 90.00
_cell_angle_beta 90.00
_cell_angle_gamma 90.00
_space_group_name_H-M_alt 'F -4 3 m'
_space_group_IT_number 216
_space_group_name_Hall 'F -4 2 3'
loop_
_atom_site_label
_atom_site_type_symbol
_atom_site_fract_x
_atom_site_fract_y
_atom_site_fract_z
Sr1 Sr 0.125 0.125 0.125
Be1 Be 0.250 0.250 0.750
Cu1 Cu 0.000 0.000 0.500
```

Output
Energy of formation: 1.040 eV/atom

=====

- Number 3 is which compound?
  Sr4BeCu